PBE-GGA TcW2Cl, relaxed; size of the total moment = 0.00 μB/cell; offset from the most stable computed form = 297 meV/atom; uncorrected formation energy = 660 meV/atom; E = -35.5 eV/cell
1.0
2.8544 0.0000 0.0000
0.0000 4.1985 0.0000
-1.4007 0.0000 5.2753
Tc W Cl
1 2 1
Direct
0.0000 0.0000 0.0000
0.4450 0.5000 0.7601
0.5550 0.5000 0.2399
0.5000 0.0000 0.5000

=====

PBE-GGA Li4Er3ThSe8, relaxed; size of the total moment = 0.00 μB/cell; uncorrected formation energy = -1633 meV/atom; E = -82.8 eV/cell
1.0
4.0515 2.3391 6.5208
-4.0515 2.3391 6.5208
0.0000 -4.6783 6.5208
Li Er Th Se
4 3 1 8
Direct
0.0000 0.0000 0.0000
0.0000 0.5000 0.5000
0.5000 0.0000 0.5000
0.5000 0.5000 0.0000
0.0000 0.0000 0.5000
0.0000 0.5000 0.0000
0.5000 0.0000 0.0000
0.5000 0.5000 0.5000
0.2440 0.2440 0.7538
0.2440 0.7538 0.2440
0.2462 0.7560 0.7560
0.2506 0.2506 0.2506
0.7494 0.7494 0.7494
0.7538 0.2440 0.2440
0.7560 0.2462 0.7560
0.7560 0.7560 0.2462

=====

PBE-GGA Na2CrS4, relaxed; size of the total moment = 0.00 μB/cell; uncorrected formation energy = -693 meV/atom; E = -134.5 eV/cell
1.0
8.0722 0.0000 0.0000
0.0000 6.4944 0.0000
0.0000 0.0000 12.6618
Na Cr S
8 4 16
Direct
0.0202 0.2500 0.1414
0.1058 0.2500 0.6314
0.3942 0.7500 0.1314
0.4798 0.7500 0.6414
0.5202 0.2500 0.3586
0.6058 0.2500 0.8686
0.8942 0.7500 0.3686
0.9798 0.7500 0.8586
0.2106 0.2500 0.8909
0.2894 0.7500 0.3909
0.7106 0.2500 0.6091
0.7894 0.7500 0.1091
0.0434 0.7500 0.0831
0.1529 0.7500 0.5316
0.2225 0.0040 0.2997
0.2225 0.4960 0.2997
0.2775 0.5040 0.7997
0.2775 0.9960 0.7997
0.3472 0.2500 0.0316
0.4566 0.2500 0.5831
0.5434 0.7500 0.4169
0.6528 0.7500 0.9684
0.7225 0.0040 0.2003
0.7225 0.4960 0.2003
0.7775 0.5040 0.7003
0.7775 0.9960 0.7003
0.8472 0.2500 0.4684
0.9566 0.2500 0.9169

=====

PBE-GGA Pt3IBr, relaxed; size of the total moment = 0.00 μB/cell; offset from the most stable computed form = 0 meV/atom; uncorrected formation energy = 1188 meV/atom; E = -15.4 eV/cell
1.0
4.8758 0.0000 0.0000
0.0000 4.8758 0.0000
0.0000 0.0000 4.8758
Pt I Br
3 1 1
Direct
0.0000 0.0000 0.5000
0.0000 0.5000 0.0000
0.5000 0.0000 0.0000
0.5000 0.5000 0.5000
0.0000 0.0000 0.0000

=====

Which value of uncorrected formation energy does entry 2 give?
-1633 meV/atom